No. 1
First-principles (GGA-PBE) data for CaAc3La2Se6 after structural relaxation, as listed in Alexandria.

Unit cell a=7.5795 b=7.5795 c=7.5844 alpha=99.57 beta=99.57 gamma=120.07
With the nearest neighbours (Å) after each atom.
Atoms (fractional coordinates):
Ca 0.0000 0.0000 0.0000  6 Se 2.99
Ac 0.1690 0.8310 0.5000  6 Se 3.13-3.19
Ac 0.5000 0.5000 0.5000  6 Se 3.14-3.20
Ac 0.8310 0.1690 0.5000  6 Se 3.13-3.19
La 0.3339 0.6661 0.0000  6 Se 3.06
La 0.6661 0.3339 0.0000  6 Se 3.06
Se 0.0779 0.4037 0.2348  1 Ca 2.99, 2 La 3.06, 3 Ac 3.13-3.19
Se 0.2461 0.2461 0.7628  1 Ca 2.99, 2 La 3.06, 3 Ac 3.15-3.20
Se 0.4037 0.0779 0.2348  1 Ca 2.99, 2 La 3.06, 3 Ac 3.13-3.19
Se 0.5963 0.9221 0.7652  1 Ca 2.99, 2 La 3.06, 3 Ac 3.13-3.19
Se 0.7539 0.7539 0.2372  1 Ca 2.99, 2 La 3.06, 3 Ac 3.15-3.20
Se 0.9221 0.5963 0.7652  1 Ca 2.99, 2 La 3.06, 3 Ac 3.13-3.19

## Properties
* E: -5.677 eV per atom
* crystal system: monoclinic
* symmetry: No. 12
* total moment: 0.00 Bohr magnetons per cell
* density of states at the Fermi level: 0.5490 states/eV per atom
* formation energy (no corrections): -1.919 eV/atom

=====

No. 2
First-principles (GGA-PBE) data for CsBaNi2 after structural relaxation, as listed in Alexandria.

Unit cell a=5.5705 b=5.5705 c=5.5705 alpha=60.00 beta=60.00 gamma=60.00
With the nearest neighbours (Å) after each atom.
Atoms (fractional coordinates):
Cs 0.0000 0.0000 0.0000  8 Ni 3.41
Ba 0.5000 0.5000 0.5000  8 Ni 3.41
Ni 0.2500 0.2500 0.2500  4 Ba 3.41, 4 Cs 3.41
Ni 0.7500 0.7500 0.7500  4 Ba 3.41, 4 Cs 3.41

## Properties
* E: -2.846 eV per atom
* ΔE_f: 0.738 eV/atom
* crystal system: cubic
* symmetry: No. 225
* total moment: 1.00 Bohr magnetons per cell
* density of states at the Fermi level: 1.4417 states/eV per atom
* energy above the most stable polymorph in this dataset: 0.00 eV/f.u.

=====

No. 3
First-principles (GGA-PBE) data for YTl2P after structural relaxation, as listed in Alexandria.

Unit cell a=8.6332 b=8.6332 c=8.6332 alpha=26.95 beta=26.95 gamma=26.95
With the nearest neighbours (Å) after each atom.
Atoms (fractional coordinates):
Y 0.0000 0.0000 0.0000  3 P 2.70
Tl 0.5352 0.5352 0.5352  3 P 3.01
Tl 0.7648 0.7648 0.7648  3 Y 3.37, 3 Tl 3.48
P 0.2783 0.2783 0.2783  3 Y 2.70, 3 Tl 3.01

## Properties
* E: -4.504 eV per atom
* ΔE_f: -0.352 eV/atom
* crystal system: trigonal
* symmetry: No. 160
* total moment: 0.01 Bohr magnetons per cell
* density of states at the Fermi level: 0.9599 states/eV per atom
* energy above the most stable polymorph in this dataset: 0.65 eV/f.u.